# 1
VASP calculation (PBE) on a relaxed Ga2Cu2Pt crystal.

a b c (Å): 6.795 6.795 3.111
angles (deg): 90.00 90.00 90.00
Space group P4/mbm (No. 127)
Inequivalent atoms, fractional coordinates:
Ga1 0.152 0.348 0.000 [4 per cell]
Cu1 0.143 0.643 0.500 [4 per cell]
Pt1 0.000 0.000 0.000 [2 per cell]

The value obtained for the total energy is -4.2354 eV per atom. Its energy above the most stable polymorph in this dataset is 121 meV per atom. Its spin magnetization is 0.00 μB per cell. The density of states at the Fermi level is 0.152 states/eV per atom.

---

# 2
VASP calculation (PBE) on a relaxed Ga2CuPt crystal.

a b c (Å): 3.261 3.261 5.549
angles (deg): 90.00 90.00 90.00
Space group P4/mmm (No. 123)
Inequivalent atoms, fractional coordinates:
Ga1 0.000 0.000 0.242 [2 per cell]
Cu1 0.500 0.500 0.000 [1 per cell]
Pt1 0.500 0.500 0.500 [1 per cell]

The value obtained for the total energy is -4.3426 eV per atom. Its energy above the most stable polymorph in this dataset is 53 meV per atom. Its spin magnetization is 0.00 μB per cell. The density of states at the Fermi level is 0.214 states/eV per atom.

---

# 3
VASP calculation (PBE) on a relaxed GaCu2Pt2 crystal.

a b c (Å): 3.289 3.289 13.858
angles (deg): 90.00 90.00 90.00
Space group I4/mmm (No. 139)
Inequivalent atoms, fractional coordinates:
Ga1 0.000 0.000 0.000 [2 per cell]
Cu1 0.000 0.500 0.250 [4 per cell]
Pt1 0.000 0.000 0.400 [4 per cell]

The value obtained for the total energy is -4.7756 eV per atom. Its energy above the most stable polymorph in this dataset is 144 meV per atom. Its spin magnetization is 0.00 μB per cell. The density of states at the Fermi level is 0.364 states/eV per atom.

---

# 4
VASP calculation (PBE) on a relaxed GaCu2Pt2 crystal.

a b c (Å): 3.740 3.740 11.838
angles (deg): 90.00 90.00 90.00
Space group I4/mmm (No. 139)
Inequivalent atoms, fractional coordinates:
Ga1 0.000 0.000 0.000 [2 per cell]
Cu1 0.000 0.000 0.402 [4 per cell]
Pt1 0.000 0.500 0.250 [4 per cell]

The value obtained for the total energy is -4.5127 eV per atom. Its energy above the most stable polymorph in this dataset is 406 meV per atom. Its spin magnetization is 0.00 μB per cell. The density of states at the Fermi level is 0.615 states/eV per atom.

---

# 5
VASP calculation (PBE) on a relaxed GaCu6Pt crystal.

a b c (Å): 7.241 5.061 6.629
angles (deg): 90.00 106.80 90.00
Space group C2/m (No. 12)
Inequivalent atoms, fractional coordinates:
Ga1 0.000 0.000 0.000 [2 per cell]
Cu1 0.132 0.500 0.923 [4 per cell]
Cu2 0.199 0.258 0.296 [8 per cell]
Pt1 0.000 0.500 0.500 [2 per cell]

The value obtained for the total energy is -4.1563 eV per atom. Its energy above the most stable polymorph in this dataset is 0 meV per atom. Its spin magnetization is 0.00 μB per cell. The density of states at the Fermi level is 0.263 states/eV per atom.

---

# 6
VASP calculation (PBE) on a relaxed GaCu2Pt8 crystal.

a b c (Å): 11.771 6.859 4.628
angles (deg): 90.00 105.43 90.00
Space group C2/m (No. 12)
Inequivalent atoms, fractional coordinates:
Ga1 0.000 0.000 0.000 [2 per cell]
Cu1 0.125 0.000 0.502 [4 per cell]
Pt1 0.070 0.300 0.795 [8 per cell]
Pt2 0.145 0.500 0.351 [4 per cell]
Pt3 0.224 0.000 0.061 [4 per cell]

The value obtained for the total energy is -5.3644 eV per atom. Its energy above the most stable polymorph in this dataset is 257 meV per atom. Its spin magnetization is 0.00 μB per cell. The density of states at the Fermi level is 0.944 states/eV per atom.

---

# 7
VASP calculation (PBE) on a relaxed Ga2CuPt8 crystal.

a b c (Å): 14.034 4.021 6.254
angles (deg): 90.00 107.74 90.00
Space group C2/m (No. 12)
Inequivalent atoms, fractional coordinates:
Ga1 0.220 0.000 0.156 [4 per cell]
Cu1 0.000 0.500 0.500 [2 per cell]
Pt1 0.044 0.000 0.232 [4 per cell]
Pt2 0.097 0.500 0.962 [4 per cell]
Pt3 0.147 0.000 0.714 [4 per cell]
Pt4 0.176 0.500 0.430 [4 per cell]

The value obtained for the total energy is -5.6190 eV per atom. Its energy above the most stable polymorph in this dataset is 0 meV per atom. Its spin magnetization is 0.00 μB per cell. The density of states at the Fermi level is 0.784 states/eV per atom.

---

# 8
VASP calculation (PBE) on a relaxed GaCu2Pt2 crystal.

a b c (Å): 6.445 6.445 3.741
angles (deg): 90.00 90.00 90.00
Space group P4/mbm (No. 127)
Inequivalent atoms, fractional coordinates:
Ga1 0.000 0.000 0.000 [2 per cell]
Cu1 0.151 0.349 0.500 [4 per cell]
Pt1 0.147 0.647 0.000 [4 per cell]

The value obtained for the total energy is -4.8808 eV per atom. Its energy above the most stable polymorph in this dataset is 38 meV per atom. Its spin magnetization is 0.00 μB per cell. The density of states at the Fermi level is 0.399 states/eV per atom.

---

# 9
VASP calculation (PBE) on a relaxed GaCu2Pt4 crystal.

a b c (Å): 5.516 6.229 7.155
angles (deg): 114.10 102.24 103.40
Space group P1 (No. 1)
Inequivalent atoms, fractional coordinates:
Ga1 0.000 0.000 0.000 [1 per cell]
Ga2 0.353 0.852 0.559 [1 per cell]
Cu1 0.065 0.550 0.702 [1 per cell]
Cu2 0.443 0.419 0.282 [1 per cell]
Cu3 0.561 0.553 0.699 [1 per cell]
Cu4 0.655 0.142 0.412 [1 per cell]
Pt1 0.159 0.139 0.418 [1 per cell]
Pt2 0.226 0.713 0.138 [1 per cell]
Pt3 0.277 0.284 0.855 [1 per cell]
Pt4 0.489 0.981 0.976 [1 per cell]
Pt5 0.718 0.709 0.131 [1 per cell]
Pt6 0.769 0.274 0.834 [1 per cell]
Pt7 0.843 0.843 0.579 [1 per cell]
Pt8 0.944 0.437 0.292 [1 per cell]

The value obtained for the total energy is -5.3376 eV per atom. Its energy above the most stable polymorph in this dataset is 0 meV per atom. Its spin magnetization is 0.00 μB per cell. The density of states at the Fermi level is 0.489 states/eV per atom.

---

# 10
VASP calculation (PBE) on a relaxed GaCu14Pt crystal.

a b c (Å): 8.507 5.162 9.039
angles (deg): 90.00 90.00 90.00
Space group Amm2 (No. 38)
Inequivalent atoms, fractional coordinates:
Ga1 0.000 0.000 0.000 [2 per cell]
Cu1 0.000 0.249 0.251 [4 per cell]
Cu2 0.253 0.000 0.166 [4 per cell]
Cu3 0.256 0.000 0.667 [4 per cell]
Cu4 0.257 0.249 0.914 [8 per cell]
Cu5 0.500 0.000 0.330 [2 per cell]
Cu6 0.500 0.000 0.832 [2 per cell]
Cu7 0.500 0.249 0.082 [4 per cell]
Pt1 0.000 0.000 0.501 [2 per cell]

The value obtained for the total energy is -4.2232 eV per atom. Its spin magnetization is 0.00 μB per cell. The density of states at the Fermi level is 0.415 states/eV per atom.

---

# 11
VASP calculation (PBE) on a relaxed GaCuPt6 crystal.

a b c (Å): 7.661 5.327 7.124
angles (deg): 90.00 110.68 90.00
Space group C2/m (No. 12)
Inequivalent atoms, fractional coordinates:
Ga1 0.000 0.000 0.000 [2 per cell]
Cu1 0.000 0.500 0.500 [2 per cell]
Pt1 0.145 0.000 0.438 [4 per cell]
Pt2 0.202 0.242 0.802 [8 per cell]

The value obtained for the total energy is -5.4473 eV per atom. Its energy above the most stable polymorph in this dataset is 233 meV per atom. Its spin magnetization is 0.00 μB per cell. The density of states at the Fermi level is 1.072 states/eV per atom.

---

# 12
VASP calculation (PBE) on a relaxed GaCu2Pt2 crystal.

a b c (Å): 4.273 5.619 12.536
angles (deg): 90.00 90.00 90.00
Space group Imma (No. 74)
Inequivalent atoms, fractional coordinates:
Ga1 0.000 0.250 0.134 [4 per cell]
Cu1 0.000 0.250 0.501 [4 per cell]
Cu2 0.000 0.250 0.873 [4 per cell]
Pt1 0.000 0.002 0.674 [8 per cell]

The value obtained for the total energy is -4.9191 eV per atom. Its energy above the most stable polymorph in this dataset is 0 meV per atom. Its spin magnetization is 0.00 μB per cell. The density of states at the Fermi level is 0.393 states/eV per atom.

---

# 13
VASP calculation (PBE) on a relaxed Ga3Cu2Pt8 crystal.

a b c (Å): 5.4197 5.4197 27.4490
angles (deg): 90.00 90.00 120.00
Space group R-3m (No. 166, hexagonal axes)
Inequivalent atoms, fractional coordinates:
Ga1 0.0000 0.0000 0.0000 [3 per cell]
Ga2 0.0000 0.0000 0.1498 [6 per cell]
Cu1 0.0000 0.0000 0.3298 [6 per cell]
Pt1 0.0000 0.0000 0.2387 [6 per cell]
Pt2 0.0054 0.5027 0.2584 [18 per cell]

The value obtained for the total energy is -5.1925 eV per atom. Its spin magnetization is 0.00 μB per cell. The density of states at the Fermi level is 0.842 states/eV per atom.

---

# 14
VASP calculation (PBE) on a relaxed Ga3CuPt crystal.

a b c (Å): 8.559 4.780 10.033
angles (deg): 90.00 124.68 90.00
Space group P2_1/c (No. 14)
Inequivalent atoms, fractional coordinates:
Ga1 0.064 0.143 0.155 [4 per cell]
Ga2 0.334 0.685 0.165 [4 per cell]
Ga3 0.385 0.215 0.005 [4 per cell]
Cu1 0.058 0.141 0.428 [4 per cell]
Pt1 0.260 0.723 0.877 [4 per cell]

The value obtained for the total energy is -4.1270 eV per atom. Its energy above the most stable polymorph in this dataset is 0 meV per atom. Its spin magnetization is 0.00 μB per cell. The density of states at the Fermi level is 0.291 states/eV per atom.

---

# 15
VASP calculation (PBE) on a relaxed GaCu2Pt2 crystal.

a b c (Å): 7.181 7.181 2.876
angles (deg): 90.00 90.00 90.00
Space group P4/mbm (No. 127)
Inequivalent atoms, fractional coordinates:
Ga1 0.000 0.000 0.000 [2 per cell]
Cu1 0.122 0.378 0.000 [4 per cell]
Pt1 0.175 0.675 0.500 [4 per cell]

The value obtained for the total energy is -4.7497 eV per atom. Its energy above the most stable polymorph in this dataset is 169 meV per atom. Its spin magnetization is 0.00 μB per cell. The density of states at the Fermi level is 0.594 states/eV per atom.

---

# 16
VASP calculation (PBE) on a relaxed Ga2Cu2Pt crystal.

a b c (Å): 6.929 6.929 2.939
angles (deg): 90.00 90.00 90.00
Space group P4/mbm (No. 127)
Inequivalent atoms, fractional coordinates:
Ga1 0.173 0.327 0.000 [4 per cell]
Cu1 0.126 0.626 0.500 [4 per cell]
Pt1 0.000 0.000 0.500 [2 per cell]

The value obtained for the total energy is -4.1892 eV per atom. Its energy above the most stable polymorph in this dataset is 167 meV per atom. Its spin magnetization is 0.00 μB per cell. The density of states at the Fermi level is 0.250 states/eV per atom.

---

# 17
VASP calculation (PBE) on a relaxed GaCu2Pt8 crystal.

a b c (Å): 14.000 3.970 6.164
angles (deg): 90.00 105.47 90.00
Space group C2/m (No. 12)
Inequivalent atoms, fractional coordinates:
Ga1 0.000 0.000 0.000 [2 per cell]
Cu1 0.227 0.500 0.635 [4 per cell]
Pt1 0.048 0.500 0.727 [4 per cell]
Pt2 0.095 0.000 0.449 [4 per cell]
Pt3 0.139 0.500 0.190 [4 per cell]
Pt4 0.181 0.000 0.915 [4 per cell]

The value obtained for the total energy is -5.6210 eV per atom. Its energy above the most stable polymorph in this dataset is 0 meV per atom. Its spin magnetization is 0.00 μB per cell. The density of states at the Fermi level is 0.922 states/eV per atom.

---

# 18
VASP calculation (PBE) on a relaxed Ga4CuPt7 crystal.

a b c (Å): 11.810 4.605 9.130
angles (deg): 90.00 126.69 90.00
Space group C2/m (No. 12)
Inequivalent atoms, fractional coordinates:
Ga1 0.081 0.000 0.287 [4 per cell]
Ga2 0.219 0.000 0.837 [4 per cell]
Cu1 0.000 0.500 0.500 [2 per cell]
Pt1 0.000 0.000 0.500 [2 per cell]
Pt2 0.078 0.500 0.822 [4 per cell]
Pt3 0.140 0.000 0.059 [4 per cell]
Pt4 0.212 0.500 0.371 [4 per cell]

The value obtained for the total energy is -5.2158 eV per atom. Its spin magnetization is 0.00 μB per cell. The density of states at the Fermi level is 0.438 states/eV per atom.

---

# 19
VASP calculation (PBE) on a relaxed GaCu3Pt6 crystal.

a b c (Å): 7.001 6.018 9.965
angles (deg): 90.00 133.77 90.00
Space group P2_1/c (No. 14)
Inequivalent atoms, fractional coordinates:
Ga1 0.000 0.000 0.000 [2 per cell]
Cu1 0.203 0.211 0.755 [4 per cell]
Cu2 0.500 0.000 0.500 [2 per cell]
Pt1 0.097 0.129 0.442 [4 per cell]
Pt2 0.277 0.629 0.441 [4 per cell]
Pt3 0.451 0.642 0.250 [4 per cell]

The value obtained for the total energy is -5.2718 eV per atom. Its energy above the most stable polymorph in this dataset is 134 meV per atom. Its spin magnetization is 0.00 μB per cell. The density of states at the Fermi level is 0.777 states/eV per atom.

---

# 20
VASP calculation (PBE) on a relaxed GaCu2Pt3 crystal.

a b c (Å): 4.026 12.107 7.005
angles (deg): 90.00 90.00 90.00
Space group Cmmm (No. 65)
Inequivalent atoms, fractional coordinates:
Ga1 0.000 0.157 0.000 [4 per cell]
Cu1 0.000 0.169 0.500 [4 per cell]
Cu2 0.000 0.500 0.000 [2 per cell]
Cu3 0.000 0.500 0.500 [2 per cell]
Pt1 0.000 0.000 0.257 [4 per cell]
Pt2 0.000 0.332 0.244 [8 per cell]

The value obtained for the total energy is -5.2767 eV per atom. Its spin magnetization is 0.00 μB per cell. The density of states at the Fermi level is 0.394 states/eV per atom.

---

# 21
VASP calculation (PBE) on a relaxed Ga2Cu5Pt crystal.

a b c (Å): 5.270 10.611 3.767
angles (deg): 90.00 90.00 90.00
Space group Pbam (No. 55)
Inequivalent atoms, fractional coordinates:
Ga1 0.243 0.123 0.000 [4 per cell]
Cu1 0.000 0.500 0.500 [2 per cell]
Cu2 0.011 0.745 0.500 [4 per cell]
Cu3 0.238 0.367 0.000 [4 per cell]
Pt1 0.000 0.000 0.500 [2 per cell]

The value obtained for the total energy is -4.2834 eV per atom. Its spin magnetization is 0.00 μB per cell. The density of states at the Fermi level is 0.385 states/eV per atom.